No. 1
The following is a DFT calculation (PBE) of a geometry-optimized BaScW2 structure.

Geometry as extended XYZ:
```
4
Lattice="-6.1475 4.8044 7.9273 -5.2474 2.3802 9.5139 -3.4867 4.8474 9.3841" Properties=species:S:1:pos:R:3 pbc="T T T"
Ba -3.7204 3.0080 6.7063
Sc -11.1612 9.0240 20.1190
W -0.1616 0.1307 0.2914
W -7.2792 5.8853 13.1213
```

Output
Relative energy among the computed polymorphs   603.7 meV/atom
N(E_F)   4.7 states/eV per cell
Energy of formation from the pure elements   1114 meV/atom

No. 2
The following is a DFT calculation (PBE) of a geometry-optimized Y2MnAs2 structure.

Geometry as extended XYZ:
```
10
Lattice="6.7114 0.0000 0.0000 0.0000 6.7114 0.0000 0.0000 0.0000 4.3342" Properties=species:S:1:pos:R:3 pbc="T T T"
Y 1.1508 4.5065 2.1671
Y 4.5065 5.5606 2.1671
Y 5.5606 2.2049 2.1671
Y 2.2049 1.1508 2.1671
As 2.3760 5.7317 0.0000
As 5.7317 4.3353 0.0000
As 4.3353 0.9796 0.0000
As 0.9796 2.3760 0.0000
Mn 0.0000 0.0000 0.0000
Mn 3.3557 3.3557 0.0000
```

Output
N(E_F)   19.1 states/eV per cell
Energy of formation from the pure elements   -695 meV/atom

No. 3
The following is a DFT calculation (PBE) of a geometry-optimized RbTiBr5 structure.

Geometry as extended XYZ:
```
7
Lattice="-4.2120 -4.5369 6.0159 2.7361 -1.3285 7.1071 -2.3044 2.9157 6.7786" Properties=species:S:1:pos:R:3 pbc="T T T"
Rb 2.4112 -1.0549 7.0859
Ti -2.2287 -1.1897 9.9288
Br -3.9912 -1.6770 8.3273
Br -0.4161 -2.7160 10.0469
Br -2.1666 0.7292 11.4194
Br -3.5134 -2.4568 11.6728
Br -1.0657 0.1797 8.1768
```

Output
E   -26.43 eV per formula unit
N(E_F)   0.0 states/eV per cell

No. 4
The following is a DFT calculation (PBE) of a geometry-optimized TaHgP2Se structure.

Geometry as extended XYZ:
```
5
Lattice="-4.6359 -1.2318 0.9365 -0.6103 -1.3458 -4.7912 1.4285 -4.5440 1.0944" Properties=species:S:1:pos:R:3 pbc="T T T"
P 0.7143 -2.2720 0.5472
P -2.3180 -0.6159 0.4683
Hg -1.9089 -3.5608 -1.3802
Se -0.3051 -0.6729 -2.3956
Ta 0.0000 0.0000 0.0000
```

Output
E   -25.31 eV per formula unit
N(E_F)   3.6 states/eV per cell

No. 5
The following is a DFT calculation (PBE) of a geometry-optimized K3LiMo structure.

Geometry as extended XYZ:
```
5
Lattice="-2.6789 6.3607 -0.1520 -5.5944 -2.4334 -3.2311 -3.0306 -1.1307 6.0988" Properties=species:S:1:pos:R:3 pbc="T T T"
Mo 0.0000 0.0000 0.0000
K -2.7972 -1.2167 -1.6155
K -1.5153 -0.5653 3.0494
K -1.3395 3.1803 -0.0760
Li -5.6519 1.3983 1.3579
```

Output
Relative energy among the computed polymorphs   0.0 meV/atom
N(E_F)   5.0 states/eV per cell
Energy of formation from the pure elements   1160 meV/atom

No. 6
The following is a DFT calculation (PBE) of a geometry-optimized LaPaCrS6 structure.

Geometry as extended XYZ:
```
9
Lattice="-4.6848 -0.8505 -3.3527 -0.3530 -6.2057 2.0675 -3.1792 4.7193 3.2451" Properties=species:S:1:pos:R:3 pbc="T T T"
La -3.6375 -2.9893 0.7837
Pa -2.2371 1.0776 2.8526
Cr -2.3424 -0.4253 -1.6764
S -6.0223 -1.5196 1.2756
S -6.6680 2.2157 1.2304
S -4.4770 0.6385 -1.4310
S -2.2791 -0.4913 0.7194
S -4.5279 0.0701 3.7192
S -3.5030 3.0007 1.5437
```

Output
E   -59.46 eV per formula unit
N(E_F)   4.7 states/eV per cell

No. 7
The following is a DFT calculation (PBE) of a geometry-optimized ReOsN2F structure.

Geometry as extended XYZ:
```
5
Lattice="-2.7026 -2.7455 0.7211 0.1980 -1.1755 -3.7338 2.9235 -2.6205 0.9800" Properties=species:S:1:pos:R:3 pbc="T T T"
Re 0.0000 0.0000 0.0000
N 0.0990 -0.5878 -1.8669
N -1.3513 -1.3727 0.3605
Os 0.2094 -3.2707 -1.0163
F 1.4617 -1.3102 0.4900
```

Output
Relative energy among the computed polymorphs   0.0 meV/atom
N(E_F)   3.8 states/eV per cell

No. 8
The following is a DFT calculation (PBE) of a geometry-optimized Sc5Ag structure.

Geometry as extended XYZ:
```
6
Lattice="2.9093 -5.0391 0.0000 2.9093 5.0391 0.0000 0.0000 0.0000 5.2881" Properties=species:S:1:pos:R:3 pbc="T T T"
Sc 1.4547 2.5195 2.6440
Sc 2.9093 1.6797 0.0000
Sc 1.4547 -2.5195 2.6440
Sc 2.9093 0.0000 2.6440
Sc 2.9093 -1.6797 0.0000
Ag 0.0000 0.0000 0.0000
```

Output
Relative energy among the computed polymorphs   553.2 meV/atom
N(E_F)   9.3 states/eV per cell
Energy of formation from the pure elements   507 meV/atom

No. 9
The following is a DFT calculation (PBE) of a geometry-optimized YHo2Sc3As6 structure.

Geometry as extended XYZ:
```
12
Lattice="-2.7470 -6.0375 -1.9999 4.6173 0.1637 5.1624 -5.4528 2.7300 3.2429" Properties=species:S:1:pos:R:3 pbc="T T T"
Y 0.0000 0.0000 0.0000
Ho 2.1630 -1.9030 2.7754
Ho -0.2926 -3.9708 0.3871
Sc 0.6655 0.4968 5.5919
Sc -4.2479 -3.6406 0.8134
Sc -1.7912 -1.5719 3.2027
As -3.8495 -3.4026 3.5430
As -0.0318 -3.7056 3.2410
As 0.2671 0.2589 2.8623
As -1.3870 -1.3291 5.9379
As -3.5506 0.5618 3.1644
As -2.1954 -1.8147 0.4674
```

Output
N(E_F)   2.1 states/eV per cell
Energy of formation from the pure elements   -1446 meV/atom

No. 10
The following is a DFT calculation (PBE) of a geometry-optimized Li2BeCl structure.

Geometry as extended XYZ:
```
4
Lattice="3.1697 0.0000 0.0000 0.0000 4.4790 0.0000 0.0000 0.0000 4.4790" Properties=species:S:1:pos:R:3 pbc="T T T"
Be 1.5848 2.2395 0.0000
Cl 1.5848 0.0000 2.2395
Li 0.0000 0.0000 0.0000
Li 0.0000 2.2395 2.2395
```

Output
Relative energy among the computed polymorphs   203.7 meV/atom
N(E_F)   2.0 states/eV per cell

No. 11
The following is a DFT calculation (PBE) of a geometry-optimized ZrAuO3 structure.

Geometry as extended XYZ:
```
5
Lattice="-1.3979 -1.0933 3.7450 -3.7188 -0.8293 -1.6302 1.1794 -3.9105 -0.7014" Properties=species:S:1:pos:R:3 pbc="T T T"
Au -1.9686 -2.9165 0.7068
O -1.8594 -0.4146 -0.8151
O 0.5897 -1.9552 -0.3507
O -0.6989 -0.5466 1.8725
Zr 0.0000 0.0000 0.0000
```

Output
E   -33.78 eV per formula unit
N(E_F)   5.8 states/eV per cell

No. 12
The following is a DFT calculation (PBE) of a geometry-optimized ZnCuSi2Ge structure.

Geometry as extended XYZ:
```
5
Lattice="-1.2020 -2.8854 -3.4493 3.9366 1.3021 -2.4611 2.4042 -3.4296 2.0311" Properties=species:S:1:pos:R:3 pbc="T T T"
Ge 1.9683 0.6510 -1.2305
Si 1.2021 -1.7148 1.0156
Si -0.6010 -1.4427 -1.7246
Zn 0.0000 0.0000 0.0000
Cu 2.5694 -2.5065 -1.9396
```

Output
E   -15.61 eV per formula unit
N(E_F)   2.9 states/eV per cell

No. 13
The following is a DFT calculation (PBE) of a geometry-optimized Si3BCl structure.

Geometry as extended XYZ:
```
5
Lattice="4.7234 0.0000 0.0000 0.0000 4.7234 0.0000 0.0000 0.0000 4.7234" Properties=species:S:1:pos:R:3 pbc="T T T"
Si 0.0000 2.3617 0.0000
Si 0.0000 0.0000 2.3617
Si 2.3617 0.0000 0.0000
B 2.3617 2.3617 2.3617
Cl 0.0000 0.0000 0.0000
```

Output
Relative energy among the computed polymorphs   1080.3 meV/atom
N(E_F)   1.2 states/eV per cell

No. 14
The following is a DFT calculation (PBE) of a geometry-optimized Nd2Ge3AsIr4 structure.

Geometry as extended XYZ:
```
10
Lattice="4.3051 0.0000 0.0000 0.0000 4.3051 0.0000 0.0000 0.0000 10.0922" Properties=species:S:1:pos:R:3 pbc="T T T"
Nd 2.1525 0.0000 2.5858
Nd 0.0000 2.1525 7.5064
Ge 0.0000 0.0000 5.0461
Ge 2.1525 0.0000 8.7646
Ge 0.0000 2.1525 1.3276
As 2.1525 2.1525 5.0461
Ir 2.1525 2.1525 0.0000
Ir 0.0000 0.0000 0.0000
Ir 2.1525 0.0000 6.2951
Ir 0.0000 2.1525 3.7971
```

Output
N(E_F)   4.5 states/eV per cell
Energy of formation from the pure elements   -774 meV/atom

No. 15
The following is a DFT calculation (PBE) of a geometry-optimized Tb3Pm2Pr8 structure.

Geometry as extended XYZ:
```
13
Lattice="-3.5259 3.9186 2.4071 0.1864 -3.9369 6.6826 8.1631 7.5220 -0.2936" Properties=species:S:1:pos:R:3 pbc="T T T"
Tb -1.7630 1.9593 1.2035
Tb 4.6891 10.3192 4.0150
Tb 0.1345 -2.8155 4.7811
Pm 2.2076 4.6225 2.6726
Pm 2.6160 2.8812 6.1236
Pr 2.9346 -0.0524 4.3889
Pr 1.8889 7.5561 4.4072
Pr -1.3622 5.3729 3.2041
Pr 6.1858 2.1308 5.5921
Pr 4.8107 5.5486 4.9842
Pr 4.7317 7.1618 2.2418
Pr 0.0919 0.3419 6.5543
Pr 0.0128 1.9551 3.8120
```

Output
Relative energy among the computed polymorphs   39.2 meV/atom
N(E_F)   19.0 states/eV per cell
Energy of formation from the pure elements   196 meV/atom

No. 16
The following is a DFT calculation (PBE) of a geometry-optimized K2CuC2O6 structure.

Geometry as extended XYZ:
```
22
Lattice="10.6549 -0.0300 0.0192 7.4782 5.7824 0.0212 3.1767 -2.4238 5.2829" Properties=species:S:1:pos:R:3 pbc="T T T"
K 8.1813 -1.3170 3.1107
K 13.1285 3.3164 0.1398
K 12.4621 0.8720 3.5716
K 8.8477 2.8218 2.3214
Cu 10.6549 3.3420 5.2782
Cu 5.3275 0.8155 1.3049
C 6.0619 3.3775 0.0351
C 4.5930 -1.4076 3.1033
C 10.3733 5.5268 0.5214
C 10.9365 -1.8925 5.2786
O 17.1736 4.2658 0.8784
O 4.1362 -1.0420 4.2816
O 3.3808 0.6252 1.3482
O 7.2741 0.9343 1.1501
O 5.0980 2.6110 0.5138
O 5.5569 -0.6527 2.6065
O 9.1557 5.0892 0.7893
O 12.1541 -1.4665 4.9927
O 9.6684 0.8421 4.1285
O 11.6415 3.3403 2.5266
O 14.2256 2.6728 4.8191
O 17.7392 3.1740 4.4977
```

Output
Relative energy among the computed polymorphs   0.0 meV/atom

No. 17
The following is a DFT calculation (PBE) of a geometry-optimized NaNiGeSe3 structure.

Geometry as extended XYZ:
```
12
Lattice="-1.5292 1.9673 2.6130 -6.4047 0.0160 -3.7604 -0.4616 -8.5582 6.1732" Properties=species:S:1:pos:R:3 pbc="T T T"
Na -1.7909 -1.4798 1.3133
Na -6.6046 -5.0951 3.7125
Ni -4.7399 -0.1982 -1.3775
Ni -3.6556 -6.3767 6.4033
Ge -1.7247 -4.8625 3.8988
Ge -6.6708 -1.7124 1.1270
Se -6.8068 0.8750 -0.9007
Se -1.5887 -7.4500 5.9265
Se -5.4645 -3.9503 1.0233
Se -2.9310 -2.6247 4.0025
Se -4.5298 0.1802 0.9551
Se -3.8657 -6.7551 4.0707
```

Output
E   -24.50 eV per formula unit
N(E_F)   3.9 states/eV per cell

No. 18
The following is a DFT calculation (PBE) of a geometry-optimized K2Ca2Zn structure.

Geometry as extended XYZ:
```
10
Lattice="-0.4984 -4.7424 -6.5690 7.8335 -1.9623 0.8223 -1.8190 -5.5304 4.1306" Properties=species:S:1:pos:R:3 pbc="T T T"
K 4.3164 -4.9430 1.4508
K 5.1878 -7.5949 -1.7160
K 1.1997 -7.2921 -3.0669
K 0.3283 -4.6402 0.1000
Zn 0.0000 0.0000 0.0000
Zn 3.6676 -3.3523 -2.8733
Ca 6.3502 -3.2055 -1.4953
Ca 4.8202 -5.2558 -4.9143
Ca 0.9849 -3.4992 -4.2513
Ca 2.5149 -1.4489 -0.8324
```

Output
N(E_F)   7.8 states/eV per cell
Energy of formation from the pure elements   152 meV/atom

No. 19
The following is a DFT calculation (PBE) of a geometry-optimized SbSeS2 structure.

Geometry as extended XYZ:
```
4
Lattice="2.0797 0.0000 8.5970 -1.0398 1.8011 8.5970 -1.0398 -1.8011 8.5970" Properties=species:S:1:pos:R:3 pbc="T T T"
Sb 0.0000 0.0000 0.0000
S 0.0000 0.0000 23.0686
S 0.0000 0.0000 2.7225
Se 0.0000 0.0000 12.8955
```

Output
Relative energy among the computed polymorphs   434.1 meV/atom
N(E_F)   1.9 states/eV per cell

No. 20
The following is a DFT calculation (PBE) of a geometry-optimized BPCS2 structure.

Geometry as extended XYZ:
```
5
Lattice="3.9205 0.0000 0.0000 0.0000 3.9205 0.0000 0.0000 0.0000 4.2354" Properties=species:S:1:pos:R:3 pbc="T T T"
P 0.0000 0.0000 2.1177
S 0.0000 1.9603 0.0000
S 1.9603 0.0000 0.0000
B 1.9603 1.9603 2.1177
C 0.0000 0.0000 0.0000
```

Output
Relative energy among the computed polymorphs   0.0 meV/atom
N(E_F)   2.8 states/eV per cell